(1)
Entry from the Alexandria database: crystalline Ca4SnRh at its relaxed geometry (PBE).

Structure (CIF):
```
data_Ca4SnRh
_chemical_formula_sum 'Ca16 Sn4 Rh4'
_cell_length_a 9.197
_cell_length_b 13.966
_cell_length_c 6.208
_cell_angle_alpha 90.00
_cell_angle_beta 114.81
_cell_angle_gamma 90.00
_space_group_name_H-M_alt 'C 1 2/c 1'
_space_group_IT_number 15
_space_group_name_Hall '-C 2yc'
loop_
_atom_site_label
_atom_site_fract_x
_atom_site_fract_y
_atom_site_fract_z
Ca1 0.114 0.168 0.068
Ca2 0.214 0.435 0.326
Sn1 0.000 0.365 0.750
Rh1 0.000 0.002 0.250
```

Properties
**ΔH_f (0 K)**: -0.486 eV/atom
**Volume**: 30.16 A^3/atom

(2)
Entry from the Alexandria database: crystalline Tb5ZnPd4 at its relaxed geometry (PBE).

Structure (CIF):
```
data_Tb5ZnPd4
_chemical_formula_sum 'Tb5 Zn1 Pd4'
_cell_length_a 3.537
_cell_length_b 3.537
_cell_length_c 17.642
_cell_angle_alpha 90.00
_cell_angle_beta 90.00
_cell_angle_gamma 90.00
_space_group_name_H-M_alt 'P 4/m m m'
_space_group_IT_number 123
_space_group_name_Hall '-P 4 2'
loop_
_atom_site_label
_atom_site_fract_x
_atom_site_fract_y
_atom_site_fract_z
Tb1 0.000 0.000 0.000
Tb2 0.000 0.000 0.199
Tb3 0.000 0.000 0.398
Zn1 0.500 0.500 0.500
Pd1 0.500 0.500 0.100
Pd2 0.500 0.500 0.300
```

Properties
**ΔH_f (0 K)**: -0.759 eV/atom
**Volume**: 22.07 A^3/atom

(3)
Entry from the Alexandria database: crystalline Fe2CoSe at its relaxed geometry (PBE).

Structure (CIF):
```
data_Fe2CoSe
_chemical_formula_sum 'Fe2 Co1 Se1'
_cell_length_a 2.994
_cell_length_b 2.994
_cell_length_c 5.647
_cell_angle_alpha 90.00
_cell_angle_beta 90.00
_cell_angle_gamma 90.00
_space_group_name_H-M_alt 'P 4 m m'
_space_group_IT_number 99
_space_group_name_Hall 'P 4 -2'
loop_
_atom_site_label
_atom_site_fract_x
_atom_site_fract_y
_atom_site_fract_z
Fe1 0.000 0.000 0.000
Fe2 0.500 0.500 0.255
Co1 0.500 0.500 0.773
Se1 0.000 0.000 0.489
```

Properties
**Raw formation energy**: 3.4 kcal/mol of atoms
**Volume**: 12.65 A^3/atom

(4)
Entry from the Alexandria database: crystalline Na2GaPbI5 at its relaxed geometry (PBE).

Structure (CIF):
```
data_Na2GaPbI5
_chemical_formula_sum 'Na8 Ga4 Pb4 I20'
_cell_length_a 4.586
_cell_length_b 19.643
_cell_length_c 16.852
_cell_angle_alpha 90.00
_cell_angle_beta 90.00
_cell_angle_gamma 90.00
_space_group_name_H-M_alt 'C m c 21'
_space_group_IT_number 36
_space_group_name_Hall 'C 2c -2'
loop_
_atom_site_label
_atom_site_fract_x
_atom_site_fract_y
_atom_site_fract_z
Na1 0.000 0.043 0.000
Na2 0.000 0.145 0.590
Ga1 0.000 0.430 0.776
Pb1 0.000 0.273 0.374
I1 0.000 0.108 0.399
I2 0.000 0.221 0.015
I3 0.000 0.247 0.739
I4 0.000 0.433 0.370
I5 0.000 0.469 0.108
```

Properties
**Raw formation energy**: -18.7 kcal/mol of atoms
**Volume**: 42.17 A^3/atom

(5)
Entry from the Alexandria database: crystalline PuScHgGe at its relaxed geometry (PBE).

Structure (CIF):
```
data_PuScHgGe
_chemical_formula_sum 'Pu4 Sc4 Hg4 Ge4'
_cell_length_a 7.145
_cell_length_b 7.145
_cell_length_c 7.145
_cell_angle_alpha 90.00
_cell_angle_beta 90.00
_cell_angle_gamma 90.00
_space_group_name_H-M_alt 'F -4 3 m'
_space_group_IT_number 216
_space_group_name_Hall 'F -4 2 3'
loop_
_atom_site_label
_atom_site_fract_x
_atom_site_fract_y
_atom_site_fract_z
Pu1 0.000 0.000 0.000
Sc1 0.000 0.000 0.500
Hg1 0.250 0.250 0.750
Ge1 0.250 0.250 0.250
```

Properties
**ΔH_f (0 K)**: -0.358 eV/atom
**Volume**: 22.80 A^3/atom